Hf4Ti3Nb: relaxed, PBE.

* calculated formation energy: 0.769 kcal/mol of atoms
* SG: No. 25

Cell lengths 3.020, 4.694, 11.268 Å; angles 90.00, 90.00, 90.00 degrees
Positions (direct):
Nb: 0.500 0.500 0.066
Hf: 0.500 0.500 0.327
Hf: 0.500 0.000 0.675
Hf: 0.000 0.000 0.179
Hf: 0.000 0.500 0.820
Ti: 0.000 0.000 0.437
Ti: 0.000 0.500 0.563
Ti: 0.500 0.000 0.935

=====

Ac3GeN: relaxed, PBE.

* distance to the lowest polymorph of the same formula: 5.9 meV per atom
* formation energy from raw total energies: -680 meV per atom
* SG: No. 26

Cell lengths 4.616, 8.266, 8.672 Å; angles 90.00, 90.00, 90.00 degrees
Positions (direct):
Ac: 0.000 0.260 0.410
Ac: 0.000 0.740 0.910
Ac: 0.500 0.928 0.247
Ac: 0.500 0.072 0.747
Ac: 0.500 0.604 0.579
Ac: 0.500 0.396 0.079
Ge: 0.000 0.379 0.763
Ge: 0.000 0.621 0.263
N: 0.500 0.215 0.305
N: 0.500 0.785 0.805

=====

PmSm2Th3: relaxed, PBE.

* calculated formation energy: 4.489 kcal/mol of atoms
* SG: No. 63

Cell lengths 6.799, 11.428, 7.695 Å; angles 137.95, 90.00, 90.00 degrees
Positions (direct):
Sm: 0.250 0.896 0.333
Sm: 0.250 0.563 0.667
Sm: 0.750 0.437 0.333
Sm: 0.750 0.104 0.667
Th: 0.000 0.167 0.334
Th: 0.000 0.500 0.000
Th: 0.500 0.833 0.666
Th: 0.500 0.167 0.334
Th: 0.500 0.500 0.000
Th: 0.000 0.833 0.666
Pm: 0.250 0.230 0.000
Pm: 0.750 0.770 0.000

=====

BaLi2CrRe: relaxed, PBE.

* calculated formation energy: 17.977 kcal/mol of atoms
* SG: No. 123

Cell lengths 5.121, 4.601, 5.121 Å; angles 90.00, 90.00, 90.00 degrees
Positions (direct):
Li: 0.000 0.000 0.500
Li: 0.500 0.000 0.000
Re: 0.000 0.500 0.000
Cr: 0.000 0.000 0.000
Ba: 0.500 0.500 0.500

=====

LaDyHf: relaxed, PBE.

* distance to the lowest polymorph of the same formula: 141.2 meV per atom
* calculated formation energy: 5.776 kcal/mol of atoms
* SG: No. 187

Cell lengths 3.400, 5.464, 5.464 Å; angles 120.00, 90.00, 90.00 degrees
Positions (direct):
Hf: 0.167 0.333 0.667
Dy: 0.166 0.000 0.000
La: 0.667 0.667 0.333

=====

Nb2SbC: relaxed, PBE.

* formation energy from raw total energies: 806 meV per atom
* SG: No. 225

Cell lengths 4.505, 4.505, 4.505 Å; angles 60.00, 60.00, 60.00 degrees
Positions (direct):
Nb: 0.250 0.250 0.250
Nb: 0.750 0.750 0.750
Sb: 0.500 0.500 0.500
C: 0.000 0.000 0.000

=====

What did the first record say?
Hf4Ti3Nb: relaxed, PBE.

* calculated formation energy: 0.769 kcal/mol of atoms
* SG: No. 25

Cell lengths 3.020, 4.694, 11.268 Å; angles 90.00, 90.00, 90.00 degrees
Positions (direct):
Nb: 0.500 0.500 0.066
Hf: 0.500 0.500 0.327
Hf: 0.500 0.000 0.675
Hf: 0.000 0.000 0.179
Hf: 0.000 0.500 0.820
Ti: 0.000 0.000 0.437
Ti: 0.000 0.500 0.563
Ti: 0.500 0.000 0.935

=====

- What is the formula in the third record?
  PmSm2Th3